w | Al4FeIr (PBE, optimized geometry); Fermi-level density of states = 3.2 states/eV/cell; SG = R-3m, No. 166
1.0
-2.135 3.142 1.456
-4.062 -0.189 0.136
-1.734 -1.671 6.750
Fe Al Ir
1 4 1
Cartesian
-3.965 0.641 4.171
-3.846 -0.312 6.404
-4.084 1.595 1.938
-1.861 -0.653 4.366
-6.069 1.936 3.976
0.000 0.000 0.000

x | Al4FeIr (PBE, optimized geometry); Fermi-level density of states = 4.1 states/eV/cell; SG = F-43m, No. 216
1.0
4.818 -0.437 -1.110
2.450 -4.154 1.173
1.449 -3.120 -3.578
Ir Al Fe
1 4 1
Cartesian
0.000 0.000 0.000
3.038 -4.602 -1.642
4.223 -2.741 -2.785
5.450 -4.821 -2.198
4.724 -3.259 -0.406
2.179 -1.928 -0.879

Most stable pick: w. Distance to second place: 456 meV per atom.

w | KAlFe3 (PBE, optimized geometry); Fermi-level density of states = 5.4 states/eV/cell; SG = Pm-3m, No. 221
1.0
4.477 0.000 0.000
0.000 4.477 0.000
0.000 0.000 4.477
Al Fe K
1 3 1
Cartesian
2.238 2.238 2.238
0.000 0.000 2.238
0.000 2.238 0.000
2.238 0.000 0.000
0.000 0.000 0.000

x | KAlFe3 (PBE, optimized geometry); Fermi-level density of states = 4.4 states/eV/cell; SG = Pm-3m, No. 221
1.0
-4.573 1.187 0.179
-0.350 -1.992 4.274
1.148 4.120 2.015
Al Fe K
1 3 1
Cartesian
0.000 0.000 0.000
0.574 2.060 1.007
-2.287 0.594 0.089
-0.175 -0.996 2.137
-1.887 1.658 3.233

Most stable pick: x. Distance to second place: 1143 meV per atom.

w | La2AlFeSn (PBE, optimized geometry); Fermi-level density of states = 4.6 states/eV/cell; SG = P4/mmm, No. 123
1.0
-1.606 -0.299 4.878
1.808 -4.807 0.301
4.225 1.683 1.494
Fe Sn Al La
1 1 1 2
Cartesian
0.000 0.000 0.000
2.213 -1.711 3.337
2.112 0.842 0.747
-0.803 -0.149 2.439
0.904 -2.403 0.151

x | La2AlFeSn (PBE, optimized geometry); Fermi-level density of states = 5.6 states/eV/cell; SG = P4/mmm, No. 123
1.0
5.758 0.000 0.000
0.000 4.519 0.000
0.000 0.000 5.758
Sn Al Fe La
1 1 1 2
Cartesian
2.879 2.259 2.879
0.000 0.000 0.000
0.000 2.259 0.000
0.000 0.000 2.879
2.879 0.000 0.000

Most stable pick: w. Distance to second place: 537 meV per atom.

w | LaYAl2Fe (PBE, optimized geometry); Fermi-level density of states = 4.5 states/eV/cell; SG = P4/mmm, No. 123
1.0
5.499 0.000 0.000
0.000 4.450 0.000
0.000 0.000 5.499
Al Fe La Y
2 1 1 1
Cartesian
2.750 0.000 0.000
0.000 0.000 2.750
0.000 2.225 0.000
0.000 0.000 0.000
2.750 2.225 2.750

x | LaYAl2Fe (PBE, optimized geometry); Fermi-level density of states = 3.4 states/eV/cell; SG = P4/mmm, No. 123
1.0
4.771 0.000 0.000
0.000 4.771 0.000
0.000 0.000 4.926
Al Y Fe La
2 1 1 1
Cartesian
2.386 0.000 0.000
0.000 2.386 0.000
0.000 0.000 2.463
0.000 0.000 0.000
2.386 2.386 2.463

Most stable pick: x. Distance to second place: 1092 meV per atom.

w | LiAl3Fe (PBE, optimized geometry); Fermi-level density of states = 0.4 states/eV/cell; SG = Pm-3m, No. 221
1.0
4.508 0.000 0.000
0.000 4.508 0.000
0.000 0.000 4.508
Li Al Fe
1 3 1
Cartesian
2.254 2.254 2.254
0.000 2.254 0.000
0.000 0.000 2.254
2.254 0.000 0.000
0.000 0.000 0.000

x | LiAl3Fe (PBE, optimized geometry); Fermi-level density of states = 4.6 states/eV/cell; SG = Cm, No. 8
1.0
2.969 0.002 -0.500
-0.021 4.300 -0.122
0.322 -0.267 10.936
Al Li Fe
6 2 2
Cartesian
1.120 0.808 8.655
0.348 0.327 4.099
1.166 2.838 -0.105
2.591 2.975 8.325
1.451 0.733 1.592
1.819 2.494 3.769
0.731 2.736 6.355
2.208 0.574 6.069
2.928 0.382 10.323
2.979 2.923 1.600

Most stable pick: x. Distance to second place: 62 meV per atom.

w | Li3AlFe (PBE, optimized geometry); Fermi-level density of states = 10.9 states/eV/cell; SG = Pm-3m, No. 221
1.0
-2.752 -2.449 -2.897
1.952 -3.983 1.512
-3.252 -0.319 3.359
Fe Li Al
1 3 1
Cartesian
-2.026 -3.375 0.987
-1.626 -0.159 1.679
0.976 -1.991 0.756
-1.376 -1.224 -1.448
0.000 0.000 0.000

x | Li3AlFe (PBE, optimized geometry); Fermi-level density of states = 5.6 states/eV/cell; SG = Pm-3m, No. 221
1.0
-2.940 -3.131 1.731
2.761 -3.411 -1.478
2.274 0.093 4.033
Li Fe Al
3 1 1
Cartesian
1.137 0.047 2.016
1.381 -1.705 -0.739
-1.470 -1.565 0.865
0.000 0.000 0.000
1.047 -3.224 2.143

Most stable pick: x. Distance to second place: 374 meV per atom.

w | MgAl2Fe2 (PBE, optimized geometry); Fermi-level density of states = 8.9 states/eV/cell; SG = P4/mbm, No. 127
1.0
-4.312 3.215 -4.619
-4.973 0.547 5.023
1.032 2.466 0.753
Fe Al Mg
4 4 2
Cartesian
-3.474 2.115 2.954
-6.506 3.819 1.529
-4.779 4.112 -1.796
-1.747 2.408 -0.372
-5.899 1.656 2.660
-2.399 0.627 1.234
-3.386 2.106 -2.256
-6.886 3.135 -0.830
-4.643 1.881 0.202
0.000 0.000 0.000

x | MgAl2Fe2 (PBE, optimized geometry); Fermi-level density of states = 2.7 states/eV/cell; SG = I4/mmm, No. 139
1.0
3.597 0.000 0.000
0.000 3.597 0.000
1.799 1.799 6.071
Fe Al Mg
2 2 1
Cartesian
3.597 1.799 3.035
1.799 3.597 3.035
1.799 1.799 1.330
3.597 3.597 4.741
0.000 0.000 0.000

y | MgAl2Fe2 (PBE, optimized geometry); Fermi-level density of states = 9.3 states/eV/cell; SG = P4/mbm, No. 127
1.0
-5.721 -3.631 -2.191
1.685 -5.323 4.420
-1.512 1.178 1.996
Mg Al Fe
2 4 4
Cartesian
0.000 0.000 0.000
-2.018 -4.477 1.114
-2.516 -1.478 0.884
-0.513 -3.402 3.539
-3.031 -6.298 3.340
-5.035 -4.373 0.685
-3.807 -6.537 0.974
-0.592 -5.844 3.002
-0.228 -2.417 1.254
-3.444 -3.110 -0.774

Most stable pick: w. Distance to second place: 27 meV per atom.

w | MgAl3Fe (PBE, optimized geometry); Fermi-level density of states = 4.6 states/eV/cell; SG = Cmcm, No. 63
1.0
-2.824 -0.232 -4.245
4.003 -2.363 -2.533
-4.136 -4.277 2.985
Mg Al Fe
2 6 2
Cartesian
-0.424 -2.141 -4.203
-2.534 -4.731 0.410
-0.107 -4.826 -1.199
-2.850 -2.046 -2.595
-0.324 -2.187 -1.199
-2.634 -4.685 -2.594
-4.662 -3.488 -1.311
1.705 -3.384 -2.483
0.000 0.000 0.000
-1.412 -0.116 -2.123

x | MgAl3Fe (PBE, optimized geometry); Fermi-level density of states = 1.7 states/eV/cell; SG = Pm-3m, No. 221
1.0
-3.883 -2.321 0.239
0.949 -1.996 -3.954
2.131 -3.340 2.197
Al Fe Mg
3 1 1
Cartesian
0.475 -0.998 -1.977
1.066 -1.670 1.099
-1.942 -1.160 0.119
0.000 0.000 0.000
-0.401 -3.828 -0.759

Most stable pick: w. Distance to second place: 165 meV per atom.